Compound: La3RhN
Source: the Alexandria database
Functional: meta-GGA SCAN
Structure: single point on PBEsol structure

Structure (CIF):
```
data_La3RhN
_chemical_formula_sum 'La3 Rh1 N1'
_symmetry_space_group_name_H-M 'P m -3 m'
_symmetry_Int_Tables_number 221
_symmetry_space_group_name_Hall '-P 4 2 3'
_cell_length_a 5.342
_cell_length_b 5.342
_cell_length_c 5.342
_cell_angle_alpha 90.00
_cell_angle_beta 90.00
_cell_angle_gamma 90.00
loop_
_atom_site_label
_atom_site_type_symbol
_atom_site_fract_x
_atom_site_fract_y
_atom_site_fract_z
La1 La 0.000 0.000 0.500
Rh1 Rh 0.000 0.000 0.000
N1 N 0.500 0.500 0.500
```

Computed properties:
calculated total energy = -34.023 eV per atom
V = 152 Å³/cell

Compound: YMg2Cu
Source: the Alexandria database
Functional: meta-GGA SCAN
Structure: single point on PBEsol structure

Structure (CIF):
```
data_YMg2Cu
_chemical_formula_sum 'Y2 Mg4 Cu2'
_symmetry_space_group_name_H-M 'P m m n'
_symmetry_Int_Tables_number 59
_cell_length_a 4.524
_cell_length_b 5.754
_cell_length_c 6.470
_cell_angle_alpha 90.00
_cell_angle_beta 90.00
_cell_angle_gamma 90.00
loop_
_symmetry_equiv_pos_as_xyz
'x,y,z'
'-x,-y,-z'
'-x+1/2,-y+1/2,z'
'x+1/2,y+1/2,-z'
'x+1/2,-y,-z'
'-x+1/2,y,z'
'-x,y+1/2,-z'
'x,-y+1/2,z'
loop_
_atom_site_label
_atom_site_type_symbol
_atom_site_fract_x
_atom_site_fract_y
_atom_site_fract_z
Y1 Y 0.250 0.250 0.074
Mg1 Mg 0.250 0.003 0.629
Cu1 Cu 0.250 0.750 0.240
```

Computed properties:
DFT formation energy = -0.1290 eV per atom
calculated total energy = -13.376 eV per atom
V = 168 Å³/cell

Compound: FeSN2O
Source: the Alexandria database
Functional: meta-GGA SCAN
Structure: single point on PBEsol structure

Structure (CIF):
```
data_FeSN2O
_chemical_formula_sum 'Fe1 S1 N2 O1'
_symmetry_space_group_name_H-M 'P 4/m m m'
_symmetry_Int_Tables_number 123
_symmetry_space_group_name_Hall '-P 4 2'
_cell_length_a 3.720
_cell_length_b 3.720
_cell_length_c 3.441
_cell_angle_alpha 90.00
_cell_angle_beta 90.00
_cell_angle_gamma 90.00
loop_
_atom_site_label
_atom_site_type_symbol
_atom_site_fract_x
_atom_site_fract_y
_atom_site_fract_z
Fe1 Fe 0.000 0.000 0.000
S1 S 0.500 0.500 0.500
N1 N 0.000 0.500 0.000
O1 O 0.000 0.000 0.500
```

Computed properties:
calculated total energy = -9.390 eV per atom
V = 48 Å³/cell

Compound: ZnFeW3
Source: the Alexandria database
Functional: meta-GGA SCAN
Structure: single point on PBEsol structure

Structure (CIF):
```
data_ZnFeW3
_chemical_formula_sum 'Zn1 Fe1 W3'
_symmetry_space_group_name_H-M 'P m -3 m'
_symmetry_Int_Tables_number 221
_symmetry_space_group_name_Hall '-P 4 2 3'
_cell_length_a 4.463
_cell_length_b 4.463
_cell_length_c 4.463
_cell_angle_alpha 90.00
_cell_angle_beta 90.00
_cell_angle_gamma 90.00
loop_
_atom_site_label
_atom_site_type_symbol
_atom_site_fract_x
_atom_site_fract_y
_atom_site_fract_z
Zn1 Zn 0.000 0.000 0.000
Fe1 Fe 0.500 0.500 0.500
W1 W 0.000 0.000 0.500
```

Computed properties:
DFT formation energy = 2.1911 eV per atom
calculated total energy = -45.951 eV per atom
V = 89 Å³/cell

Compound: ReSbRu2
Source: the Alexandria database
Functional: meta-GGA SCAN
Structure: single point on PBEsol structure

Structure (CIF):
```
data_ReSbRu2
_chemical_formula_sum 'Re1 Sb1 Ru2'
_symmetry_space_group_name_H-M 'P 4/m m m'
_symmetry_Int_Tables_number 123
_symmetry_space_group_name_Hall '-P 4 2'
_cell_length_a 2.897
_cell_length_b 2.897
_cell_length_c 7.261
_cell_angle_alpha 90.00
_cell_angle_beta 90.00
_cell_angle_gamma 90.00
loop_
_atom_site_label
_atom_site_type_symbol
_atom_site_fract_x
_atom_site_fract_y
_atom_site_fract_z
Re1 Re 0.000 0.000 0.000
Sb1 Sb 0.000 0.000 0.500
Ru1 Ru 0.500 0.500 0.238
```

Computed properties:
calculated total energy = -44.286 eV per atom
V = 61 Å³/cell

Compound: Tl2HgSb
Source: the Alexandria database
Functional: meta-GGA SCAN
Structure: single point on PBEsol structure

Structure (CIF):
```
data_Tl2HgSb
_chemical_formula_sum 'Tl4 Hg2 Sb2'
_symmetry_space_group_name_H-M 'I m m 2'
_symmetry_Int_Tables_number 44
_cell_length_a 3.535
_cell_length_b 5.527
_cell_length_c 11.084
_cell_angle_alpha 90.00
_cell_angle_beta 90.00
_cell_angle_gamma 90.00
loop_
_symmetry_equiv_pos_as_xyz
'x,y,z'
'-x,-y,z'
'-x,y,z'
'x,-y,z'
'x+1/2,y+1/2,z+1/2'
'-x+1/2,-y+1/2,z+1/2'
'-x+1/2,y+1/2,z+1/2'
'x+1/2,-y+1/2,z+1/2'
loop_
_atom_site_label
_atom_site_type_symbol
_atom_site_fract_x
_atom_site_fract_y
_atom_site_fract_z
Tl1 Tl 0.000 0.000 0.000
Tl2 Tl 0.000 0.500 0.226
Hg1 Hg 0.000 0.500 0.743
Sb1 Sb 0.000 0.000 0.472
```

Computed properties:
calculated total energy = -62.482 eV per atom
excess energy over the best structure of this formula in the dataset = 5.15 kJ/mol of atoms
V = 217 Å³/cell

Compound: BeAgAu2
Source: the Alexandria database
Functional: meta-GGA SCAN
Structure: single point on PBEsol structure

Structure (CIF):
```
data_BeAgAu2
_chemical_formula_sum 'Be1 Ag1 Au2'
_symmetry_space_group_name_H-M 'P 4 m m'
_symmetry_Int_Tables_number 99
_cell_length_a 2.906
_cell_length_b 2.906
_cell_length_c 6.929
_cell_angle_alpha 90.00
_cell_angle_beta 90.00
_cell_angle_gamma 90.00
loop_
_symmetry_equiv_pos_as_xyz
'x,y,z'
'-y,x,z'
'-x,-y,z'
'y,-x,z'
'-x,y,z'
'y,x,z'
'x,-y,z'
'-y,-x,z'
loop_
_atom_site_label
_atom_site_type_symbol
_atom_site_fract_x
_atom_site_fract_y
_atom_site_fract_z
Be1 Be 0.000 0.000 0.000
Ag1 Ag 0.500 0.500 0.221
Au1 Au 0.000 0.000 0.509
Au2 Au 0.500 0.500 0.811
```

Computed properties:
DFT formation energy = -0.1139 eV per atom
calculated total energy = -43.623 eV per atom
V = 59 Å³/cell

Compound: K2AlHg
Source: the Alexandria database
Functional: meta-GGA SCAN
Structure: single point on PBEsol structure

Structure (CIF):
```
data_K2AlHg
_chemical_formula_sum 'K4 Al2 Hg2'
_symmetry_space_group_name_H-M 'A m m 2'
_symmetry_Int_Tables_number 38
_cell_length_a 4.759
_cell_length_b 5.439
_cell_length_c 11.746
_cell_angle_alpha 90.00
_cell_angle_beta 90.00
_cell_angle_gamma 90.00
loop_
_symmetry_equiv_pos_as_xyz
'x,y,z'
'-x,-y,z'
'-x,y,z'
'x,-y,z'
'x,y+1/2,z+1/2'
'-x,-y+1/2,z+1/2'
'-x,y+1/2,z+1/2'
'x,-y+1/2,z+1/2'
loop_
_atom_site_label
_atom_site_type_symbol
_atom_site_fract_x
_atom_site_fract_y
_atom_site_fract_z
K1 K 0.000 0.000 0.000
K2 K 0.500 0.000 0.306
Al1 Al 0.000 0.000 0.691
Hg1 Hg 0.500 0.000 0.612
```

Computed properties:
DFT formation energy = -0.0805 eV per atom
calculated total energy = -23.224 eV per atom
excess energy over the best structure of this formula in the dataset = 0.15 kJ/mol of atoms
V = 304 Å³/cell

Respective DOS at the Fermi energy values: 1.107; 0.772; 0.586; 0.667; 0.538; 0.444; 0.279; 0.698 states/eV per atom.
Respective total magnetization values: 0.004; 0.000; 0.001; 0.478; 0.000; 0.000; 0.000; 0.000 μB per atom.